# 1
Material: Hf3Zr3NbN8
Method: DFT, PBE
State: relaxed

Geometry as POSCAR:
```
Hf3Zr3NbN8
1.0
6.400 0.000 0.000
-3.200 5.543 -0.019
0.000 -3.677 5.259
N Zr Hf Nb
8 3 3 1
Cartesian
-1.633 2.804 3.843
1.633 2.804 3.843
3.200 0.013 3.877
3.200 1.890 1.387
0.000 -0.024 3.853
0.000 1.852 1.362
1.567 -0.938 1.396
4.833 -0.938 1.396
0.000 0.000 0.000
1.600 2.771 -0.010
-1.600 2.771 -0.010
3.200 -1.838 2.630
1.600 0.933 2.620
-1.600 0.933 2.620
0.000 -1.838 2.630
```

Results
Size of the total moment: 0.00 μB per atom
Formation energy from raw total energies: -151.5 kJ/mol of atoms
Total energy: -10.3818 eV/atom
D(E_F): 3.8 states/eV per cell



# 2
Material: HfZrNb2N
Method: DFT, PBE
State: relaxed

Geometry as POSCAR:
```
HfZrNb2N
1.0
-3.676 -1.243 1.999
-0.449 -3.269 -2.857
2.391 -2.702 2.716
N Zr Nb Hf
1 1 2 1
Cartesian
0.000 0.000 0.000
-0.867 -3.607 0.929
-1.838 -0.621 1.000
-0.224 -1.635 -1.429
1.195 -1.351 1.358
```

Results
Energy above the most stable polymorph in this dataset: 0.000 eV per formula unit
Size of the total moment: 0.00 μB per atom
Formation energy from raw total energies: -52.8 kJ/mol of atoms
Total energy: -9.9406 eV/atom
D(E_F): 4.0 states/eV per cell



# 3
Material: Hf2ZrNbN
Method: DFT, PBE
State: relaxed

Geometry as POSCAR:
```
Hf2ZrNbN
1.0
-2.034 -3.127 2.496
-0.350 -2.650 -3.606
3.922 -1.799 0.942
Nb Hf N Zr
1 2 1 1
Cartesian
1.961 -0.900 0.471
-0.175 -1.325 -1.803
-1.017 -1.564 1.248
0.000 0.000 0.000
0.769 -3.788 -0.084
```

Results
Energy above the most stable polymorph in this dataset: 0.328 eV per formula unit
Size of the total moment: 0.00 μB per atom
Formation energy from raw total energies: -61.4 kJ/mol of atoms
Total energy: -10.0066 eV/atom
D(E_F): 4.1 states/eV per cell



# 4
Material: HfZrNb2N
Method: DFT, PBE
State: relaxed

Geometry as POSCAR:
```
HfZrNb2N
1.0
4.332 0.000 0.000
0.000 4.332 0.000
0.000 0.000 4.604
N Zr Hf Nb
1 1 1 2
Cartesian
0.000 0.000 0.000
0.000 0.000 2.302
2.166 2.166 2.302
2.166 0.000 0.000
0.000 2.166 0.000
```

Results
Energy above the most stable polymorph in this dataset: 0.033 eV per formula unit
Size of the total moment: 0.00 μB per atom
Formation energy from raw total energies: -52.2 kJ/mol of atoms
Total energy: -9.9340 eV/atom
D(E_F): 3.8 states/eV per cell



# 5
Material: HfZr2NbN4
Method: DFT, PBE
State: relaxed

Geometry as POSCAR:
```
HfZr2NbN4
1.0
3.221 0.000 0.000
0.000 5.582 0.090
0.000 -1.957 5.224
N Nb Zr Hf
4 1 2 1
Cartesian
0.000 3.671 1.323
1.610 0.934 1.300
1.610 2.691 4.013
0.000 -0.046 3.990
0.000 0.000 0.000
0.000 1.812 2.657
1.610 -0.979 2.612
1.610 2.791 0.045
```

Results
Size of the total moment: 0.00 μB per atom
Formation energy from raw total energies: -146.8 kJ/mol of atoms
Total energy: -10.3236 eV/atom
D(E_F): 2.3 states/eV per cell



# 6
Material: NdHf2N4
Method: DFT, PBE
State: relaxed

Geometry as POSCAR:
```
NdHf2N4
1.0
3.262 0.000 0.000
-1.631 5.382 0.000
0.000 0.000 10.631
N Nd Hf
8 2 4
Cartesian
1.631 0.000 0.000
1.631 0.000 5.316
1.631 4.772 7.973
0.000 2.557 6.492
1.631 2.825 4.139
0.000 0.609 2.658
0.000 2.557 9.454
1.631 2.825 1.177
0.000 4.204 2.658
1.631 1.178 7.973
1.631 3.956 6.030
0.000 1.426 4.601
1.631 3.956 9.917
0.000 1.426 0.714
```

Results
Size of the total moment: 0.00 μB per atom
Formation energy from raw total energies: -135.9 kJ/mol of atoms
Total energy: -9.6906 eV/atom
D(E_F): 5.9 states/eV per cell



# 7
Material: NdHf4N6
Method: DFT, PBE
State: relaxed

Geometry as POSCAR:
```
NdHf4N6
1.0
3.215 0.000 0.000
-1.607 5.336 0.000
0.000 0.000 16.458
N Nd Hf
12 2 8
Cartesian
1.607 4.991 13.904
1.607 1.921 12.344
1.607 2.883 1.341
0.000 2.453 15.117
1.607 0.000 0.000
1.607 0.000 8.229
0.000 0.345 2.555
1.607 4.991 10.784
0.000 2.453 9.570
0.000 3.415 4.115
0.000 0.345 5.675
1.607 2.883 6.888
0.000 3.734 12.344
1.607 1.602 4.115
0.000 4.214 5.994
0.000 1.396 0.771
1.607 3.939 9.001
1.607 3.939 15.687
1.607 1.121 14.223
0.000 1.396 7.458
1.607 1.121 10.464
0.000 4.214 2.235
```

Results
Size of the total moment: 0.00 μB per atom
Formation energy from raw total energies: -166.0 kJ/mol of atoms
Total energy: -10.3149 eV/atom
D(E_F): 2.1 states/eV per cell



# 8
Material: NdHf2N
Method: DFT, PBE
State: relaxed

Geometry as POSCAR:
```
NdHf2N
1.0
3.251 0.000 0.000
1.625 2.815 0.000
1.625 0.938 8.884
Hf N Nd
2 1 1
Cartesian
4.876 2.815 3.220
1.625 0.938 5.663
3.251 1.877 4.442
0.000 0.000 0.000
```

Results
Size of the total moment: 0.00 μB per atom
Formation energy from raw total energies: -61.4 kJ/mol of atoms
Total energy: -8.8866 eV/atom
D(E_F): 2.5 states/eV per cell